Entry 1:
A relaxed structure of RbLa2InOs, computed with PBE-GGA.

abc: 5.631 5.631 5.466
angles: 90.00 90.00 90.00
Sites, in units of the cell vectors:
Rb1 0.000 0.000 0.000
La1 0.000 0.500 0.500
La2 0.500 0.000 0.500
In1 0.500 0.500 0.000
Os1 0.500 0.500 0.500

Properties
Symmetry: No. 123
Energy of formation in meV/atom: 5
ρ in Mg/m³: 6.4



Entry 2:
A relaxed structure of Rb2LaInOs, computed with PBE-GGA.

abc: 6.602 6.602 6.102
angles: 90.00 90.00 90.00
Sites, in units of the cell vectors:
Rb1 0.000 0.500 0.000
Rb2 0.500 0.000 0.000
La1 0.000 0.000 0.500
In1 0.000 0.000 0.000
Os1 0.500 0.500 0.500

Properties
Symmetry: No. 123
Energy of formation in meV/atom: 1580
ρ in Mg/m³: 3.8



Entry 3:
A relaxed structure of La6In2OsRh, computed with PBE-GGA.

abc: 7.675 7.723 7.809
angles: 119.44 118.93 90.08
Sites, in units of the cell vectors:
La1 0.171 0.175 0.475
La2 0.250 0.724 0.996
La3 0.322 0.692 0.516
La4 0.678 0.308 0.484
La5 0.750 0.276 0.004
La6 0.829 0.825 0.525
In1 0.252 0.256 0.001
In2 0.748 0.744 0.999
Os1 0.000 0.500 0.500
Rh1 0.500 0.000 0.500

Properties
Symmetry: No. 2
Energy of formation in meV/atom: -376
ρ in Mg/m³: 6.7



Entry 4:
A relaxed structure of LaSc2InOs, computed with PBE-GGA.

abc: 5.269 5.269 5.015
angles: 90.00 90.00 90.00
Sites, in units of the cell vectors:
La1 0.000 0.000 0.000
Sc1 0.000 0.500 0.500
Sc2 0.500 0.000 0.500
In1 0.500 0.500 0.500
Os1 0.500 0.500 0.000

Properties
Symmetry: No. 123
Energy of formation in meV/atom: 756
ρ in Mg/m³: 6.4



Entry 5:
A relaxed structure of La3SmInOs, computed with PBE-GGA.

abc: 9.136 9.136 6.185
angles: 109.73 109.73 49.74
Sites, in units of the cell vectors:
La1 0.129 0.634 0.882
La2 0.175 0.175 0.674
La3 0.366 0.871 0.118
La4 0.634 0.129 0.882
La5 0.825 0.825 0.326
La6 0.871 0.366 0.118
Sm1 0.303 0.697 0.500
Sm2 0.697 0.303 0.500
In1 0.306 0.306 0.305
In2 0.694 0.694 0.695
Os1 0.000 0.000 0.242
Os2 0.000 0.000 0.758

Properties
Symmetry: No. 12
Energy of formation in meV/atom: -294
ρ in Mg/m³: 7.9



Entry 6:
A relaxed structure of LaInOsW2, computed with PBE-GGA.

abc: 4.983 4.983 4.930
angles: 90.00 90.00 90.00
Sites, in units of the cell vectors:
La1 0.000 0.000 0.000
In1 0.500 0.500 0.500
Os1 0.500 0.500 0.000
W1 0.000 0.500 0.500
W2 0.500 0.000 0.500

Properties
Symmetry: No. 123
Energy of formation in meV/atom: 2134
ρ in Mg/m³: 11.0



Entry 7:
A relaxed structure of LaInP2, computed with PBE-GGA.

abc: 4.185 4.185 19.050
angles: 90.00 90.00 120.00
Sites, in units of the cell vectors:
La1 0.000 0.000 0.000
La2 0.333 0.667 0.667
La3 0.667 0.333 0.333
In1 0.000 0.000 0.500
In2 0.333 0.667 0.167
In3 0.667 0.333 0.833
P1 0.000 0.000 0.244
P2 0.000 0.000 0.756
P3 0.333 0.667 0.423
P4 0.333 0.667 0.911
P5 0.667 0.333 0.089
P6 0.667 0.333 0.577

Properties
Symmetry: No. 166
Energy of formation in meV/atom: -690
ρ in Mg/m³: 5.4



Entry 8:
A relaxed structure of LaInP2, computed with PBE-GGA.

abc: 4.041 4.017 6.184
angles: 90.00 90.09 90.00
Sites, in units of the cell vectors:
La1 0.000 0.000 0.000
In1 0.500 0.000 0.500
P1 0.499 0.500 0.815
P2 0.501 0.500 0.185

Properties
Symmetry: No. 10
Energy of formation in meV/atom: -636
ρ in Mg/m³: 5.2



| no. | E (eV per atom) |
| --- | --- |
| 1 | -4.9533 |
| 2 | -2.5865 |
| 3 | -5.7387 |
| 4 | -5.5557 |
| 5 | -5.8718 |
| 6 | -6.8261 |
| 7 | -5.3115 |
| 8 | -5.2574 |